Record 1
# CdBiCl4 | Alexandria via LeMat-Bulk | PBE-GGA | optimized geometry
# total moment	1.017	μB/f.u.
# VASP energy	-32.673	eV for the cell shown
# N(E_F)	4.77	states/eV/f.u.
data_CdBiCl4
_symmetry_space_group_name_H-M 'I -4'
_symmetry_Int_Tables_number 82
_symmetry_space_group_name_Hall 'I -4'
_cell_length_a 5.639
_cell_length_b 5.639
_cell_length_c 14.262
_cell_angle_alpha 90.00
_cell_angle_beta 90.00
_cell_angle_gamma 90.00
loop_
_atom_site_label
_atom_site_type_symbol
_atom_site_fract_x
_atom_site_fract_y
_atom_site_fract_z
Cd1 Cd 0.000 0.000 0.000
Bi1 Bi 0.000 0.500 0.250
Cl1 Cl 0.239 0.258 0.109

Record 2
# Ir3Ru4Rh | Alexandria via LeMat-Bulk | PBE-GGA | optimized geometry
# total moment	0.000	μB/f.u.
# formation energy	2.17	eV/f.u.
# VASP energy	-137.727	eV for the cell shown
# N(E_F)	10.09	states/eV/f.u.
# offset from the most stable computed form	215.5	kJ/mol of formula units
data_Ir3Ru4Rh
_symmetry_space_group_name_H-M 'I m m m'
_symmetry_Int_Tables_number 71
_symmetry_space_group_name_Hall '-I 2 2'
_cell_length_a 2.672
_cell_length_b 8.856
_cell_length_c 9.873
_cell_angle_alpha 90.00
_cell_angle_beta 90.00
_cell_angle_gamma 90.00
loop_
_atom_site_label
_atom_site_type_symbol
_atom_site_fract_x
_atom_site_fract_y
_atom_site_fract_z
Ir1 Ir 0.000 0.000 0.000
Ir2 Ir 0.000 0.500 0.229
Ru1 Ru 0.000 0.252 0.368
Rh1 Rh 0.000 0.000 0.500

Record 3
# YMgZr | Alexandria via LeMat-Bulk | PBE-GGA | optimized geometry
# total moment	0.000	μB/f.u.
# formation energy	1.95	eV/f.u.
# VASP energy	-58.639	eV for the cell shown
# N(E_F)	6.13	states/eV/f.u.
# offset from the most stable computed form	186.9	kJ/mol of formula units
data_YMgZr
_symmetry_space_group_name_H-M 'F -4 3 m'
_symmetry_Int_Tables_number 216
_symmetry_space_group_name_Hall 'F -4 2 3'
_cell_length_a 7.057
_cell_length_b 7.057
_cell_length_c 7.057
_cell_angle_alpha 90.00
_cell_angle_beta 90.00
_cell_angle_gamma 90.00
loop_
_atom_site_label
_atom_site_type_symbol
_atom_site_fract_x
_atom_site_fract_y
_atom_site_fract_z
Y1 Y 0.000 0.000 0.000
Mg1 Mg 0.250 0.250 0.750
Zr1 Zr 0.000 0.000 0.500

Record 4
# PrScAg4 | Alexandria via LeMat-Bulk | PBE-GGA | optimized geometry
# total moment	0.000	μB/f.u.
# formation energy	-1.43	eV/f.u.
# VASP energy	-23.942	eV for the cell shown
# N(E_F)	3.11	states/eV/f.u.
# offset from the most stable computed form	0.0	kJ/mol of formula units
data_PrScAg4
_symmetry_space_group_name_H-M 'P 4/m m m'
_symmetry_Int_Tables_number 123
_symmetry_space_group_name_Hall '-P 4 2'
_cell_length_a 3.676
_cell_length_b 3.676
_cell_length_c 9.505
_cell_angle_alpha 90.00
_cell_angle_beta 90.00
_cell_angle_gamma 90.00
loop_
_atom_site_label
_atom_site_type_symbol
_atom_site_fract_x
_atom_site_fract_y
_atom_site_fract_z
Pr1 Pr 0.000 0.000 0.000
Sc1 Sc 0.500 0.500 0.500
Ag1 Ag 0.000 0.000 0.346
Ag2 Ag 0.500 0.500 0.195